Entry 1:
Here is LaSm6In3 after structural relaxation from Alexandria via LeMat-Bulk. Energies are from PBE-GGA.

Unit cell a=9.3599 b=9.3599 c=7.9386 alpha=90.00 beta=90.00 gamma=110.40
Fractional positions:
La: 0.2263 0.7737 0.5000
La: 0.7737 0.2263 0.0000
Sm: 0.0510 0.9490 0.2137
Sm: 0.0751 0.4495 0.7087
Sm: 0.2325 0.2993 0.0227
Sm: 0.2993 0.2325 0.5227
Sm: 0.3047 0.6953 0.0376
Sm: 0.4495 0.0751 0.2087
Sm: 0.5505 0.9249 0.7087
Sm: 0.6953 0.3047 0.5376
Sm: 0.7007 0.7675 0.0227
Sm: 0.7675 0.7007 0.5227
Sm: 0.9249 0.5505 0.2087
Sm: 0.9490 0.0510 0.7137
In: 0.0102 0.2768 0.3473
In: 0.2768 0.0102 0.8473
In: 0.4508 0.5492 0.7355
In: 0.5492 0.4508 0.2355
In: 0.7232 0.9898 0.3473
In: 0.9898 0.7232 0.8473

space-group type = Cmc2_1

=====

Entry 2:
Here is LaSm3In3 after structural relaxation from Alexandria via LeMat-Bulk. Energies are from PBE-GGA.

Unit cell a=9.6915 b=9.6915 c=5.2386 alpha=90.00 beta=90.00 gamma=120.00
Fractional positions:
La: 0.3333 0.6667 0.2500
La: 0.6667 0.3333 0.7500
Sm: 0.0035 0.2378 0.7500
Sm: 0.2343 0.9965 0.7500
Sm: 0.2378 0.2343 0.2500
Sm: 0.7622 0.7657 0.7500
Sm: 0.7657 0.0035 0.2500
Sm: 0.9965 0.7622 0.2500
In: 0.0670 0.6149 0.7500
In: 0.3851 0.4522 0.7500
In: 0.4522 0.0670 0.2500
In: 0.5478 0.9330 0.7500
In: 0.6149 0.5478 0.2500
In: 0.9330 0.3851 0.2500

space-group type = P6_3/m

=====

Entry 3:
Here is La3Sm2In3 after structural relaxation from Alexandria via LeMat-Bulk. Energies are from PBE-GGA.

Unit cell a=9.0081 b=9.0081 c=3.4796 alpha=90.00 beta=90.00 gamma=120.00
Fractional positions:
La: 0.0000 0.7514 0.0000
La: 0.2486 0.2486 0.0000
La: 0.7514 0.0000 0.0000
Sm: 0.3333 0.6667 0.0000
Sm: 0.6667 0.3333 0.0000
In: 0.0000 0.3861 0.5000
In: 0.3861 0.0000 0.5000
In: 0.6139 0.6139 0.5000

space-group type = P-62m

=====

Entry 4:
Here is La2SmIn after structural relaxation from Alexandria via LeMat-Bulk. Energies are from PBE-GGA.

Unit cell a=8.0308 b=8.0308 c=8.0308 alpha=90.00 beta=90.00 gamma=90.00
Fractional positions:
La: 0.2500 0.2500 0.2500
La: 0.2500 0.2500 0.7500
La: 0.2500 0.7500 0.2500
La: 0.2500 0.7500 0.7500
La: 0.7500 0.2500 0.2500
La: 0.7500 0.2500 0.7500
La: 0.7500 0.7500 0.2500
La: 0.7500 0.7500 0.7500
Sm: 0.0000 0.0000 0.0000
Sm: 0.0000 0.5000 0.5000
Sm: 0.5000 0.0000 0.5000
Sm: 0.5000 0.5000 0.0000
In: 0.0000 0.0000 0.5000
In: 0.0000 0.5000 0.0000
In: 0.5000 0.0000 0.0000
In: 0.5000 0.5000 0.5000

space-group type = Fm-3m

=====

Entry 5:
Here is La2SmIn after structural relaxation from Alexandria via LeMat-Bulk. Energies are from PBE-GGA.

Unit cell a=6.8732 b=5.4825 c=7.1545 alpha=90.00 beta=103.68 gamma=90.00
Fractional positions:
La: 0.1553 0.2500 0.4169
La: 0.1578 0.2500 0.9178
La: 0.8422 0.7500 0.0822
La: 0.8447 0.7500 0.5831
Sm: 0.3902 0.7500 0.2216
Sm: 0.6098 0.2500 0.7784
In: 0.3631 0.7500 0.7159
In: 0.6369 0.2500 0.2841

space-group type = P2_1/m

=====

Entry 6:
Here is La8Sm4In after structural relaxation from Alexandria via LeMat-Bulk. Energies are from PBE-GGA.

Unit cell a=7.8377 b=7.8377 c=7.8377 alpha=96.85 beta=96.85 gamma=96.85
Fractional positions:
La: 0.1750 0.1750 0.6652
La: 0.1750 0.6652 0.1750
La: 0.2373 0.2373 0.2373
La: 0.3348 0.8250 0.8250
La: 0.6652 0.1750 0.1750
La: 0.7627 0.7627 0.7627
La: 0.8250 0.3348 0.8250
La: 0.8250 0.8250 0.3348
Sm: 0.0000 0.0000 0.0000
Sm: 0.0000 0.5000 0.5000
Sm: 0.5000 0.0000 0.5000
Sm: 0.5000 0.5000 0.0000
In: 0.5000 0.5000 0.5000

space-group type = R-3m

=====

Entry 7:
Here is La5Sm2In5 after structural relaxation from Alexandria via LeMat-Bulk. Energies are from PBE-GGA.

Unit cell a=5.8254 b=5.8254 c=14.0044 alpha=103.39 beta=103.39 gamma=55.85
Fractional positions:
La: 0.0000 0.0000 0.0000
La: 0.3458 0.3458 0.5138
La: 0.4206 0.4206 0.1859
La: 0.5794 0.5794 0.8141
La: 0.6542 0.6542 0.4862
Sm: 0.1930 0.1930 0.7098
Sm: 0.8070 0.8070 0.2902
In: 0.0000 0.0000 0.5000
In: 0.1260 0.1260 0.2845
In: 0.2958 0.2958 0.9385
In: 0.7042 0.7042 0.0615
In: 0.8740 0.8740 0.7155

space-group type = C2/m

=====

Entry 8:
Here is La12Sm7In after structural relaxation from Alexandria via LeMat-Bulk. Energies are from PBE-GGA.

Unit cell a=10.1445 b=10.1445 c=10.1445 alpha=109.47 beta=109.47 gamma=109.47
Fractional positions:
La: 0.0027 0.7645 0.2382
La: 0.2355 0.2382 0.4737
La: 0.2355 0.7618 0.9973
La: 0.2382 0.0027 0.7645
La: 0.2382 0.4737 0.2355
La: 0.4737 0.2355 0.2382
La: 0.5263 0.7645 0.7618
La: 0.7618 0.5263 0.7645
La: 0.7618 0.9973 0.2355
La: 0.7645 0.2382 0.0027
La: 0.7645 0.7618 0.5263
La: 0.9973 0.2355 0.7618
Sm: 0.0000 0.0000 0.5000
Sm: 0.0000 0.5000 0.0000
Sm: 0.0000 0.5000 0.5000
Sm: 0.5000 0.0000 0.0000
Sm: 0.5000 0.0000 0.5000
Sm: 0.5000 0.5000 0.0000
Sm: 0.5000 0.5000 0.5000
In: 0.0000 0.0000 0.0000

space-group type = Im-3

=====

Entry 9:
Here is La2Sm4In after structural relaxation from Alexandria via LeMat-Bulk. Energies are from PBE-GGA.

Unit cell a=5.7154 b=6.6928 c=12.2250 alpha=90.00 beta=103.32 gamma=90.00
Fractional positions:
La: 0.0137 0.2500 0.0276
La: 0.3127 0.2500 0.6156
La: 0.6873 0.7500 0.3844
La: 0.9863 0.7500 0.9724
Sm: 0.1372 0.5006 0.2756
Sm: 0.1372 0.9994 0.2756
Sm: 0.2643 0.7500 0.5435
Sm: 0.4473 0.2500 0.8943
Sm: 0.5527 0.7500 0.1057
Sm: 0.7357 0.2500 0.4565
Sm: 0.8628 0.0006 0.7244
Sm: 0.8628 0.4994 0.7244
In: 0.4092 0.7500 0.8161
In: 0.5908 0.2500 0.1839

space-group type = P2_1/m

=====

Entry 10:
Here is La4Sm5In after structural relaxation from Alexandria via LeMat-Bulk. Energies are from PBE-GGA.

Unit cell a=8.2867 b=8.2867 c=8.2867 alpha=97.58 beta=97.58 gamma=137.42
Fractional positions:
La: 0.0000 0.3068 0.3068
La: 0.0000 0.6932 0.6932
La: 0.3068 0.0000 0.3068
La: 0.6932 0.0000 0.6932
Sm: 0.2082 0.2082 0.0000
Sm: 0.3115 0.3115 0.6300
Sm: 0.3115 0.6815 0.0000
Sm: 0.6815 0.3115 0.0000
Sm: 0.6815 0.6815 0.3700
In: 0.7248 0.7248 0.0000

space-group type = I4mm

=====

Entry 11:
Here is La6Sm5In after structural relaxation from Alexandria via LeMat-Bulk. Energies are from PBE-GGA.

Unit cell a=9.7065 b=9.7065 c=9.7065 alpha=149.46 beta=116.15 gamma=72.42
Fractional positions:
La: 0.0798 0.3366 0.7432
La: 0.2429 0.0000 0.2429
La: 0.4066 0.6634 0.7432
La: 0.5934 0.3366 0.2568
La: 0.7571 0.0000 0.7571
La: 0.9202 0.6634 0.2568
Sm: 0.1683 0.1683 0.0000
Sm: 0.3352 0.8352 0.5000
Sm: 0.5000 0.5000 0.0000
Sm: 0.6648 0.1648 0.5000
Sm: 0.8317 0.8317 0.0000
In: 0.0000 0.5000 0.5000

space-group type = Immm

=====

Entry 12:
Here is La8Sm3In2 after structural relaxation from Alexandria via LeMat-Bulk. Energies are from PBE-GGA.

Unit cell a=8.0067 b=8.0621 c=8.1353 alpha=106.07 beta=107.90 gamma=107.78
Fractional positions:
La: 0.1442 0.3511 0.0420
La: 0.2093 0.5700 0.7525
La: 0.2804 0.8071 0.4109
La: 0.3417 0.0224 0.1039
La: 0.6583 0.9776 0.8961
La: 0.7196 0.1929 0.5891
La: 0.7907 0.4300 0.2475
La: 0.8558 0.6489 0.9580
Sm: 0.0372 0.1174 0.3615
Sm: 0.5000 0.5000 0.5000
Sm: 0.9628 0.8826 0.6385
In: 0.4074 0.2457 0.7862
In: 0.5926 0.7543 0.2138

space-group type = P-1

=====

Entry 13:
Here is LaSmIn after structural relaxation from Alexandria via LeMat-Bulk. Energies are from PBE-GGA.

Unit cell a=4.7196 b=4.7196 c=8.7366 alpha=90.00 beta=90.00 gamma=90.00
Fractional positions:
La: 0.2500 0.7500 0.0000
La: 0.7500 0.2500 0.0000
Sm: 0.2500 0.2500 0.3620
Sm: 0.7500 0.7500 0.6380
In: 0.2500 0.2500 0.7228
In: 0.7500 0.7500 0.2772

space-group type = P4/nmm

=====

Entry 14:
Here is LaSmIn6 after structural relaxation from Alexandria via LeMat-Bulk. Energies are from PBE-GGA.

Unit cell a=5.2456 b=6.8416 c=11.8352 alpha=90.00 beta=90.00 gamma=90.00
Fractional positions:
La: 0.0000 0.0000 0.0000
La: 0.0000 0.5000 0.5000
Sm: 0.5000 0.0000 0.6672
Sm: 0.5000 0.5000 0.1672
In: 0.0000 0.0000 0.4927
In: 0.0000 0.2379 0.2541
In: 0.0000 0.2621 0.7541
In: 0.0000 0.5000 0.9927
In: 0.0000 0.7379 0.7541
In: 0.0000 0.7621 0.2541
In: 0.5000 0.0000 0.1771
In: 0.5000 0.2342 0.4119
In: 0.5000 0.2658 0.9119
In: 0.5000 0.5000 0.6771
In: 0.5000 0.7342 0.9119
In: 0.5000 0.7658 0.4119

space-group type = Amm2

=====

Entry 15:
Here is La4Sm3In after structural relaxation from Alexandria via LeMat-Bulk. Energies are from PBE-GGA.

Unit cell a=27.9366 b=5.3344 c=3.7760 alpha=90.00 beta=97.60 gamma=90.00
Fractional positions:
La: 0.0964 0.0000 0.0943
La: 0.2168 0.0000 0.2170
La: 0.2832 0.5000 0.7830
La: 0.4036 0.5000 0.9057
La: 0.5964 0.5000 0.0943
La: 0.7168 0.5000 0.2170
La: 0.7832 0.0000 0.7830
La: 0.9036 0.0000 0.9057
Sm: 0.0000 0.5000 0.0000
Sm: 0.1449 0.5000 0.6436
Sm: 0.3551 0.0000 0.3564
Sm: 0.5000 0.0000 0.0000
Sm: 0.6449 0.0000 0.6436
Sm: 0.8551 0.5000 0.3564
In: 0.0000 0.0000 0.5000
In: 0.5000 0.5000 0.5000

space-group type = C2/m

=====

Entry 16:
Here is LaSm4In2 after structural relaxation from Alexandria via LeMat-Bulk. Energies are from PBE-GGA.

Unit cell a=6.3707 b=11.2003 c=6.8352 alpha=90.00 beta=110.72 gamma=90.00
Fractional positions:
La: 0.0000 0.0000 0.0000
La: 0.0000 0.5000 0.5000
Sm: 0.0015 0.1679 0.4994
Sm: 0.0015 0.3321 0.9994
Sm: 0.4983 0.7200 0.4998
Sm: 0.4983 0.7800 0.9998
Sm: 0.5017 0.2200 0.0002
Sm: 0.5017 0.2800 0.5002
Sm: 0.9985 0.6679 0.0006
Sm: 0.9985 0.8321 0.5006
In: 0.4446 0.9997 0.6876
In: 0.4446 0.5003 0.1876
In: 0.5554 0.0003 0.3124
In: 0.5554 0.4997 0.8124

space-group type = P2_1/c

=====

Entry 17:
Here is LaSm4In3 after structural relaxation from Alexandria via LeMat-Bulk. Energies are from PBE-GGA.

Unit cell a=5.0387 b=5.0387 c=9.3613 alpha=90.00 beta=90.00 gamma=90.00
Fractional positions:
La: 0.0000 0.0000 0.0000
Sm: 0.0000 0.5000 0.2680
Sm: 0.0000 0.5000 0.7320
Sm: 0.5000 0.0000 0.2680
Sm: 0.5000 0.0000 0.7320
In: 0.0000 0.0000 0.5000
In: 0.5000 0.5000 0.0000
In: 0.5000 0.5000 0.5000

space-group type = P4/mmm

=====

Entry 18:
Here is LaSm3In3 after structural relaxation from Alexandria via LeMat-Bulk. Energies are from PBE-GGA.

Unit cell a=9.5701 b=9.5701 c=9.5701 alpha=90.00 beta=90.00 gamma=90.00
Fractional positions:
La: 0.0725 0.4275 0.5725
La: 0.4275 0.5725 0.0725
La: 0.5725 0.0725 0.4275
La: 0.9275 0.9275 0.9275
Sm: 0.0814 0.5814 0.9186
Sm: 0.1768 0.1768 0.1768
Sm: 0.1771 0.8229 0.3229
Sm: 0.3229 0.1771 0.8229
Sm: 0.3232 0.8232 0.6768
Sm: 0.4186 0.4186 0.4186
Sm: 0.5814 0.9186 0.0814
Sm: 0.6768 0.3232 0.8232
Sm: 0.6771 0.6771 0.6771
Sm: 0.8229 0.3229 0.1771
Sm: 0.8232 0.6768 0.3232
Sm: 0.9186 0.0814 0.5814
In: 0.0012 0.2579 0.8816
In: 0.1184 0.5012 0.2421
In: 0.2421 0.1184 0.5012
In: 0.2579 0.8816 0.0012
In: 0.3816 0.4988 0.7421
In: 0.4988 0.7421 0.3816
In: 0.5012 0.2421 0.1184
In: 0.6184 0.9988 0.7579
In: 0.7421 0.3816 0.4988
In: 0.7579 0.6184 0.9988
In: 0.8816 0.0012 0.2579
In: 0.9988 0.7579 0.6184

space-group type = P2_13

=====

Entry 19:
Here is La6SmIn5 after structural relaxation from Alexandria via LeMat-Bulk. Energies are from PBE-GGA.

Unit cell a=9.0396 b=9.0396 c=7.8777 alpha=90.00 beta=90.00 gamma=143.78
Fractional positions:
La: 0.0000 0.0000 0.2299
La: 0.0000 0.0000 0.7701
La: 0.3257 0.6743 0.2507
La: 0.3257 0.6743 0.7493
La: 0.6743 0.3257 0.2507
La: 0.6743 0.3257 0.7493
Sm: 0.5000 0.5000 0.5000
In: 0.1500 0.8500 0.5000
In: 0.1674 0.8326 0.0000
In: 0.5000 0.5000 0.0000
In: 0.8326 0.1674 0.0000
In: 0.8500 0.1500 0.5000

space-group type = Cmmm

=====

Entry 20:
Here is La8Sm2In after structural relaxation from Alexandria via LeMat-Bulk. Energies are from PBE-GGA.

Unit cell a=9.8143 b=9.8143 c=6.2295 alpha=102.33 beta=102.33 gamma=40.78
Fractional positions:
La: 0.0333 0.0333 0.2779
La: 0.0811 0.6076 0.0095
La: 0.3924 0.9189 0.9905
La: 0.4027 0.4027 0.4743
La: 0.5973 0.5973 0.5257
La: 0.6076 0.0811 0.0095
La: 0.9189 0.3924 0.9905
La: 0.9667 0.9667 0.7221
Sm: 0.2199 0.2199 0.5353
Sm: 0.7801 0.7801 0.4647
In: 0.5000 0.5000 0.0000

space-group type = C2/m

=====

no.,theoretical density (g/cm3),energy relative to the elements (eV per atom)
1,7.06,-0.1590
2,7.28,-0.3663
3,7.21,-0.3565
4,6.96,-0.1588
5,6.88,-0.2503
6,6.45,0.2744
7,6.87,-0.3360
8,5.86,0.5319
9,7.25,-0.0593
10,6.58,0.0531
11,6.87,-0.0627
12,6.85,-0.1267
13,6.90,-0.2745
14,7.65,-0.4292
15,6.68,-0.0244
16,7.06,-0.1563
17,7.58,-0.3584
18,7.08,-0.3412
19,6.80,-0.3970
20,6.64,-0.0025